## PtRhPb2 (PBEsol)

Data for crystalline PtRhPb2 at its relaxed geometry.

a = 4.1661 Å, b = 3.5771 Å, c = 10.6315 Å
α = 90.00°, β = 90.00°, γ = 90.00°
With the nearest neighbours (Å) after each atom.
Element x y z (fractional)
Pt (0.0000, 0.0000, 0.0000)  2 Rh 2.73, 7 Pb 2.84-3.01
Pt (0.0000, 0.5000, 0.5000)  2 Rh 2.73, 7 Pb 2.84-3.01
Rh (0.5000, 0.0000, 0.8342)  2 Pt 2.73, 5 Pb 2.82-2.83
Rh (0.5000, 0.5000, 0.3342)  2 Pt 2.73, 5 Pb 2.82-2.83
Pb (0.0000, 0.0000, 0.2718)  4 Rh 2.82, 3 Pt 2.89-3.01
Pb (0.0000, 0.5000, 0.7718)  4 Rh 2.82, 3 Pt 2.89-3.01
Pb (0.5000, 0.0000, 0.5676)  3 Rh 2.83-3.06, 4 Pt 2.84
Pb (0.5000, 0.5000, 0.0676)  3 Rh 2.83-3.06, 4 Pt 2.84

Properties
Crystal system ... orthorhombic
Formation enthalpy at 0 K ... -0.055 eV per atom
Excess energy over the best structure of this formula in the dataset ... 0 meV per atom


## PtRhPb2 (PBEsol)

Data for crystalline PtRhPb2 at its relaxed geometry.

a = 4.5677 Å, b = 3.3815 Å, c = 5.5943 Å
α = 90.00°, β = 114.05°, γ = 90.00°
With the nearest neighbours (Å) after each atom.
Element x y z (fractional)
Pt (0.0000, 0.0000, 0.0000)  6 Pb 2.80-2.84
Rh (0.0000, 0.5000, 0.5000)  6 Pb 2.80-2.84
Pb (0.5000, 0.0000, 0.5000)  2 Pt 2.80, 4 Rh 2.84
Pb (0.5000, 0.5000, 0.0000)  2 Rh 2.80, 4 Pt 2.84

Properties
Crystal system ... monoclinic
Formation enthalpy at 0 K ... 0.164 eV per atom
Excess energy over the best structure of this formula in the dataset ... 219 meV per atom


## Pt2RhPb (PBEsol)

Data for crystalline Pt2RhPb at its relaxed geometry.

a = 4.1636 Å, b = 4.1636 Å, c = 7.5433 Å
α = 90.00°, β = 90.00°, γ = 90.00°
With the nearest neighbours (Å) after each atom.
Element x y z (fractional)
Pt (0.0000, 0.0000, 0.0000)  4 Pb 2.81, 4 Pt 2.81, 4 Rh 2.94
Pt (0.0000, 0.5000, 0.2500)  4 Rh 2.81, 4 Pt 2.81, 4 Pb 2.94
Pt (0.5000, 0.0000, 0.7500)  4 Pt 2.81, 4 Rh 2.81, 4 Pb 2.94
Pt (0.5000, 0.5000, 0.5000)  4 Pb 2.81, 4 Pt 2.81, 4 Rh 2.94
Rh (0.0000, 0.0000, 0.5000)  4 Pb 2.81, 8 Pt 2.81-2.94
Rh (0.5000, 0.5000, 0.0000)  4 Pb 2.81, 8 Pt 2.81-2.94
Pb (0.0000, 0.5000, 0.7500)  8 Pt 2.81-2.94, 4 Rh 2.81
Pb (0.5000, 0.0000, 0.2500)  4 Rh 2.81, 8 Pt 2.81-2.94

Properties
Crystal system ... tetragonal
Formation enthalpy at 0 K ... 0.042 eV per atom


## Ru2PtPb (PBEsol)

Data for crystalline Ru2PtPb at its relaxed geometry.

a = 2.9650 Å, b = 2.9650 Å, c = 7.3353 Å
α = 90.00°, β = 90.00°, γ = 90.00°
With the nearest neighbours (Å) after each atom.
Element x y z (fractional)
Ru (0.0000, 0.0000, 0.2257)  4 Pt 2.67, 4 Pb 2.91, 4 Ru 2.96
Ru (0.0000, 0.0000, 0.7743)  4 Pt 2.67, 4 Pb 2.91, 4 Ru 2.96
Pt (0.5000, 0.5000, 0.0000)  8 Ru 2.67, 4 Pt 2.96
Pb (0.5000, 0.5000, 0.5000)  8 Ru 2.91, 4 Pb 2.96

Properties
Crystal system ... tetragonal
Formation enthalpy at 0 K ... 0.509 eV per atom


## RuPtPb (PBEsol)

Data for crystalline RuPtPb at its relaxed geometry.

a = 6.2108 Å, b = 6.2108 Å, c = 6.2108 Å
α = 90.00°, β = 90.00°, γ = 90.00°
With the nearest neighbours (Å) after each atom.
Element x y z (fractional)
Ru (0.0000, 0.0000, 0.0000)  4 Pt 2.69
Ru (0.0000, 0.5000, 0.5000)  4 Pt 2.69
Ru (0.5000, 0.0000, 0.5000)  4 Pt 2.69
Ru (0.5000, 0.5000, 0.0000)  4 Pt 2.69
Pt (0.2500, 0.2500, 0.2500)  4 Pb 2.69, 4 Ru 2.69
Pt (0.2500, 0.7500, 0.7500)  4 Pb 2.69, 4 Ru 2.69
Pt (0.7500, 0.2500, 0.7500)  4 Pb 2.69, 4 Ru 2.69
Pt (0.7500, 0.7500, 0.2500)  4 Pb 2.69, 4 Ru 2.69
Pb (0.0000, 0.0000, 0.5000)  4 Pt 2.69
Pb (0.0000, 0.5000, 0.0000)  4 Pt 2.69
Pb (0.5000, 0.0000, 0.0000)  4 Pt 2.69
Pb (0.5000, 0.5000, 0.5000)  4 Pt 2.69

Properties
Crystal system ... cubic
Formation enthalpy at 0 K ... 0.578 eV per atom


## RuPt2Pb (PBEsol)

Data for crystalline RuPt2Pb at its relaxed geometry.

a = 2.9231 Å, b = 4.5062 Å, c = 5.0645 Å
α = 90.00°, β = 90.00°, γ = 90.00°
With the nearest neighbours (Å) after each atom.
Element x y z (fractional)
Ru (0.0000, 0.0000, 0.0000)  6 Pt 2.71-2.77, 2 Pb 2.87, 2 Ru 2.92
Pt (0.5000, 0.0000, 0.5500)  2 Ru 2.71, 4 Pt 2.76-2.92, 4 Pb 2.87
Pt (0.5000, 0.5000, 0.8663)  4 Pt 2.76-2.92, 4 Ru 2.77, 4 Pb 2.85-3.00
Pb (0.0000, 0.5000, 0.3499)  8 Pt 2.85-3.00, 2 Ru 2.87, 2 Pb 2.92

Properties
Crystal system ... orthorhombic
Formation enthalpy at 0 K ... 0.279 eV per atom


## Ru2PtPb (PBEsol)

Data for crystalline Ru2PtPb at its relaxed geometry.

a = 2.9012 Å, b = 4.5807 Å, c = 4.7972 Å
α = 90.00°, β = 90.00°, γ = 90.00°
With the nearest neighbours (Å) after each atom.
Element x y z (fractional)
Ru (0.0000, 0.0000, 0.0000)  4 Pt 2.68-2.93, 6 Ru 2.81-2.90, 2 Pb 2.81
Ru (0.5000, 0.5000, 0.1542)  2 Pt 2.74, 4 Pb 2.78-2.82, 6 Ru 2.81-2.90
Pt (0.5000, 0.0000, 0.4689)  6 Ru 2.68-2.93, 4 Pb 2.86, 2 Pt 2.90
Pb (0.0000, 0.5000, 0.6591)  6 Ru 2.78-2.82, 4 Pt 2.86, 2 Pb 2.90

Properties
Crystal system ... orthorhombic
Formation enthalpy at 0 K ... 0.424 eV per atom


## RuPtPb2 (PBEsol)

Data for crystalline RuPtPb2 at its relaxed geometry.

a = 3.8177 Å, b = 3.9158 Å, c = 10.4474 Å
α = 90.00°, β = 90.00°, γ = 90.00°
With the nearest neighbours (Å) after each atom.
Element x y z (fractional)
Ru (0.0000, 0.0000, 0.0000)  6 Pb 2.77-2.79
Ru (0.5000, 0.5000, 0.5000)  6 Pb 2.77-2.79
Pt (0.0000, 0.5000, 0.2472)  6 Pb 2.79-2.87
Pt (0.5000, 0.0000, 0.7472)  6 Pb 2.79-2.87
Pb (0.0000, 0.0000, 0.4478)  4 Ru 2.79, 2 Pt 2.87
Pb (0.0000, 0.5000, 0.6920)  2 Ru 2.77, 4 Pt 2.79
Pb (0.5000, 0.0000, 0.1920)  2 Ru 2.77, 4 Pt 2.79
Pb (0.5000, 0.5000, 0.9478)  4 Ru 2.79, 2 Pt 2.87

Properties
Crystal system ... orthorhombic
Formation enthalpy at 0 K ... 0.359 eV per atom


## Ru2PtPb (PBEsol)

Data for crystalline Ru2PtPb at its relaxed geometry.

a = 2.8870 Å, b = 4.6716 Å, c = 9.6239 Å
α = 90.00°, β = 90.00°, γ = 90.00°
With the nearest neighbours (Å) after each atom.
Element x y z (fractional)
Ru (0.0000, 0.0000, 0.0000)  2 Ru 2.56, 4 Pt 2.76
Ru (0.0000, 0.5000, 0.2800)  2 Ru 2.56, 4 Pb 2.75, 2 Pt 2.84
Ru (0.5000, 0.0000, 0.7800)  2 Ru 2.56, 4 Pb 2.75, 2 Pt 2.84
Ru (0.5000, 0.5000, 0.5000)  2 Ru 2.56, 4 Pt 2.76
Pt (0.0000, 0.0000, 0.5263)  6 Ru 2.76-2.84, 2 Pt 2.89, 2 Pb 2.94
Pt (0.5000, 0.5000, 0.0263)  6 Ru 2.76-2.84, 2 Pt 2.89, 2 Pb 2.94
Pb (0.0000, 0.5000, 0.7597)  6 Ru 2.75-2.89, 2 Pb 2.89, 2 Pt 2.94
Pb (0.5000, 0.0000, 0.2597)  6 Ru 2.75-2.89, 2 Pb 2.89, 2 Pt 2.94

Properties
Crystal system ... orthorhombic
Formation enthalpy at 0 K ... 0.508 eV per atom


## SbPt2Pb (PBEsol)

Data for crystalline SbPt2Pb at its relaxed geometry.

a = 3.9100 Å, b = 3.8665 Å, c = 5.4886 Å
α = 90.00°, β = 104.27°, γ = 90.00°
With the nearest neighbours (Å) after each atom.
Element x y z (fractional)
Sb (0.0000, 0.0000, 0.0000)  6 Pt 2.75-2.87
Pt (0.1839, 0.0000, 0.5293)  4 Pb 2.78-2.86, 2 Pt 2.81, 2 Sb 2.82-2.85
Pt (0.4848, 0.5000, 0.8907)  4 Sb 2.75-2.87, 2 Pb 2.78-2.86, 2 Pt 2.81
Pb (0.6593, 0.5000, 0.4139)  6 Pt 2.78-2.86

Properties
Crystal system ... monoclinic
Formation energy (no corrections) ... -0.248 eV per atom


## ScPt2Pb (PBEsol)

Data for crystalline ScPt2Pb at its relaxed geometry.

a = 6.6382 Å, b = 6.6382 Å, c = 6.6382 Å
α = 90.00°, β = 90.00°, γ = 90.00°
With the nearest neighbours (Å) after each atom.
Element x y z (fractional)
Sc (0.0000, 0.0000, 0.0000)  8 Pt 2.87
Sc (0.0000, 0.5000, 0.5000)  8 Pt 2.87
Sc (0.5000, 0.0000, 0.5000)  8 Pt 2.87
Sc (0.5000, 0.5000, 0.0000)  8 Pt 2.87
Pt (0.2500, 0.2500, 0.2500)  4 Pb 2.87, 4 Sc 2.87
Pt (0.2500, 0.2500, 0.7500)  4 Pb 2.87, 4 Sc 2.87
Pt (0.2500, 0.7500, 0.2500)  4 Pb 2.87, 4 Sc 2.87
Pt (0.2500, 0.7500, 0.7500)  4 Pb 2.87, 4 Sc 2.87
Pt (0.7500, 0.2500, 0.2500)  4 Pb 2.87, 4 Sc 2.87
Pt (0.7500, 0.2500, 0.7500)  4 Pb 2.87, 4 Sc 2.87
Pt (0.7500, 0.7500, 0.2500)  4 Pb 2.87, 4 Sc 2.87
Pt (0.7500, 0.7500, 0.7500)  4 Pb 2.87, 4 Sc 2.87
Pb (0.0000, 0.0000, 0.5000)  8 Pt 2.87
Pb (0.0000, 0.5000, 0.0000)  8 Pt 2.87
Pb (0.5000, 0.0000, 0.0000)  8 Pt 2.87
Pb (0.5000, 0.5000, 0.5000)  8 Pt 2.87

Properties
Crystal system ... cubic
Formation enthalpy at 0 K ... -0.644 eV per atom


## Sc2PtPb2 (PBEsol)

Data for crystalline Sc2PtPb2 at its relaxed geometry.

a = 3.9767 Å, b = 3.9767 Å, c = 15.4137 Å
α = 90.00°, β = 90.00°, γ = 90.00°
With the nearest neighbours (Å) after each atom.
Element x y z (fractional)
Sc (0.0000, 0.0000, 0.0910)  1 Sc 2.80
Sc (0.0000, 0.0000, 0.9090)  1 Sc 2.80
Sc (0.5000, 0.5000, 0.4090)  1 Sc 2.80
Sc (0.5000, 0.5000, 0.5910)  1 Sc 2.80
Pt (0.0000, 0.0000, 0.5000)  8 Sc 3.14
Pt (0.5000, 0.5000, 0.0000)  8 Sc 3.14
Pb (0.0000, 0.5000, 0.2500)  4 Pb 2.81
Pb (0.0000, 0.5000, 0.7500)  4 Pb 2.81
Pb (0.5000, 0.0000, 0.2500)  4 Pb 2.81
Pb (0.5000, 0.0000, 0.7500)  4 Pb 2.81

Properties
Crystal system ... tetragonal
Formation enthalpy at 0 K ... 0.090 eV per atom


## ScPt2Pb (PBEsol)

Data for crystalline ScPt2Pb at its relaxed geometry.

a = 4.1220 Å, b = 4.1220 Å, c = 8.4296 Å
α = 90.00°, β = 90.00°, γ = 90.00°
With the nearest neighbours (Å) after each atom.
Element x y z (fractional)
Sc (0.0000, 0.0000, 0.0000)  8 Pt 2.91-2.95, 4 Pb 2.95
Sc (0.5000, 0.5000, 0.5000)  8 Pt 2.91-2.95, 4 Pb 2.95
Pt (0.0000, 0.0000, 0.5000)  4 Sc 2.91, 4 Pb 2.95, 4 Pt 2.95
Pt (0.0000, 0.5000, 0.2500)  4 Pb 2.91, 4 Sc 2.95, 4 Pt 2.95
Pt (0.5000, 0.0000, 0.7500)  4 Pb 2.91, 4 Sc 2.95, 4 Pt 2.95
Pt (0.5000, 0.5000, 0.0000)  4 Sc 2.91, 4 Pb 2.95, 4 Pt 2.95
Pb (0.0000, 0.5000, 0.7500)  8 Pt 2.91-2.95, 4 Sc 2.95
Pb (0.5000, 0.0000, 0.2500)  8 Pt 2.91-2.95, 4 Sc 2.95

Properties
Crystal system ... tetragonal
Formation enthalpy at 0 K ... -0.621 eV per atom


## Pt2PbSe (PBEsol)

Data for crystalline Pt2PbSe at its relaxed geometry.

a = 3.2782 Å, b = 3.2782 Å, c = 6.8454 Å
α = 90.00°, β = 90.00°, γ = 90.00°
With the nearest neighbours (Å) after each atom.
Element x y z (fractional)
Pt (0.0000, 0.0000, 0.2110)  4 Se 2.73, 1 Pt 2.89, 4 Pb 3.05
Pt (0.0000, 0.0000, 0.7890)  4 Se 2.73, 1 Pt 2.89, 4 Pb 3.05
Pb (0.5000, 0.5000, 0.5000)  8 Pt 3.05, 4 Pb 3.28
Se (0.5000, 0.5000, 0.0000)  8 Pt 2.73

Properties
Crystal system ... tetragonal
Formation energy (no corrections) ... 0.129 eV per atom


## Pt2PbSe (PBEsol)

Data for crystalline Pt2PbSe at its relaxed geometry.

a = 5.6585 Å, b = 7.6987 Å, c = 3.6622 Å
α = 90.00°, β = 90.00°, γ = 90.00°
With the nearest neighbours (Å) after each atom.
Element x y z (fractional)
Pt (0.0000, 0.2327, 0.0000)  2 Se 2.56, 2 Pb 2.75, 2 Pt 2.84
Pt (0.0000, 0.7673, 0.0000)  2 Se 2.56, 2 Pb 2.75, 2 Pt 2.84
Pt (0.5000, 0.2673, 0.0000)  2 Se 2.56, 2 Pb 2.75, 2 Pt 2.84
Pt (0.5000, 0.7327, 0.0000)  2 Se 2.56, 2 Pb 2.75, 2 Pt 2.84
Pb (0.0000, 0.5000, 0.5000)  4 Pt 2.75, 2 Se 2.83
Pb (0.5000, 0.0000, 0.5000)  4 Pt 2.75, 2 Se 2.83
Se (0.0000, 0.0000, 0.5000)  4 Pt 2.56, 2 Pb 2.83
Se (0.5000, 0.5000, 0.5000)  4 Pt 2.56, 2 Pb 2.83

Properties
Crystal system ... orthorhombic
Formation energy (no corrections) ... 0.045 eV per atom


## PtPb2Se (PBEsol)

Data for crystalline PtPb2Se at its relaxed geometry.

a = 4.0102 Å, b = 4.0102 Å, c = 21.0933 Å
α = 90.00°, β = 90.00°, γ = 120.00°
With the nearest neighbours (Å) after each atom.
Element x y z (fractional)
Pt (0.0000, 0.0000, 0.0000)  6 Pb 2.81
Pt (0.3333, 0.6667, 0.6667)  6 Pb 2.81
Pt (0.6667, 0.3333, 0.3333)  6 Pb 2.81
Pb (0.0000, 0.0000, 0.2581)  3 Pt 2.81, 3 Se 3.01
Pb (0.0000, 0.0000, 0.7419)  3 Pt 2.81, 3 Se 3.01
Pb (0.3333, 0.6667, 0.4086)  3 Pt 2.81, 3 Se 3.01
Pb (0.3333, 0.6667, 0.9248)  3 Pt 2.81, 3 Se 3.01
Pb (0.6667, 0.3333, 0.0752)  3 Pt 2.81, 3 Se 3.01
Pb (0.6667, 0.3333, 0.5914)  3 Pt 2.81, 3 Se 3.01
Se (0.0000, 0.0000, 0.5000)  6 Pb 3.01
Se (0.3333, 0.6667, 0.1667)  6 Pb 3.01
Se (0.6667, 0.3333, 0.8333)  6 Pb 3.01

Properties
Crystal system ... trigonal
Formation energy (no corrections) ... -0.201 eV per atom


## Pt2PbSe (PBEsol)

Data for crystalline Pt2PbSe at its relaxed geometry.

a = 6.6704 Å, b = 6.6704 Å, c = 6.6704 Å
α = 90.00°, β = 90.00°, γ = 90.00°
With the nearest neighbours (Å) after each atom.
Element x y z (fractional)
Pt (0.0000, 0.0000, 0.0000)  4 Se 2.89, 4 Pt 2.89
Pt (0.0000, 0.5000, 0.5000)  4 Se 2.89, 4 Pt 2.89
Pt (0.2500, 0.2500, 0.2500)  4 Pb 2.89, 4 Pt 2.89
Pt (0.2500, 0.7500, 0.7500)  4 Pb 2.89, 4 Pt 2.89
Pt (0.5000, 0.0000, 0.5000)  4 Se 2.89, 4 Pt 2.89
Pt (0.5000, 0.5000, 0.0000)  4 Se 2.89, 4 Pt 2.89
Pt (0.7500, 0.2500, 0.7500)  4 Pb 2.89, 4 Pt 2.89
Pt (0.7500, 0.7500, 0.2500)  4 Pb 2.89, 4 Pt 2.89
Pb (0.0000, 0.0000, 0.5000)  4 Se 2.89, 4 Pt 2.89
Pb (0.0000, 0.5000, 0.0000)  4 Se 2.89, 4 Pt 2.89
Pb (0.5000, 0.0000, 0.0000)  4 Se 2.89, 4 Pt 2.89
Pb (0.5000, 0.5000, 0.5000)  4 Se 2.89, 4 Pt 2.89
Se (0.2500, 0.2500, 0.7500)  4 Pb 2.89, 4 Pt 2.89
Se (0.2500, 0.7500, 0.2500)  4 Pb 2.89, 4 Pt 2.89
Se (0.7500, 0.2500, 0.2500)  4 Pb 2.89, 4 Pt 2.89
Se (0.7500, 0.7500, 0.7500)  4 Pt 2.89, 4 Pb 2.89

Properties
Crystal system ... cubic
Formation energy (no corrections) ... 0.293 eV per atom


## PtPbSe4 (PBEsol)

Data for crystalline PtPbSe4 at its relaxed geometry.

a = 5.6253 Å, b = 5.6253 Å, c = 5.6253 Å
α = 60.00°, β = 60.00°, γ = 60.00°
With the nearest neighbours (Å) after each atom.
Element x y z (fractional)
Pt (0.0000, 0.0000, 0.0000)  12 Se 3.29, 4 Pb 3.44
Pb (0.2500, 0.2500, 0.2500)  12 Se 3.30, 4 Pt 3.44
Se (0.1174, 0.6275, 0.6275)  6 Se 2.76-2.87
Se (0.6275, 0.1174, 0.6275)  6 Se 2.76-2.87
Se (0.6275, 0.6275, 0.1174)  6 Se 2.76-2.87
Se (0.6275, 0.6275, 0.6275)  6 Se 2.76-2.87

Properties
Crystal system ... cubic
Formation energy (no corrections) ... 0.604 eV per atom


## SiPtPb (PBEsol)

Data for crystalline SiPtPb at its relaxed geometry.

a = 3.5960 Å, b = 3.5960 Å, c = 5.5428 Å
α = 90.00°, β = 90.00°, γ = 120.00°
With the nearest neighbours (Å) after each atom.
Element x y z (fractional)
Si (0.0000, 0.0000, 0.0000)  3 Pt 2.35
Pt (0.6667, 0.3333, 0.1969)  3 Si 2.35
Pb (0.3333, 0.6667, 0.5774)  3 Pt 2.96, 3 Si 3.13

Properties
Crystal system ... trigonal
Formation energy (no corrections) ... -0.217 eV per atom


## SiPt5Pb (PBEsol)

Data for crystalline SiPt5Pb at its relaxed geometry.

a = 3.9770 Å, b = 3.9770 Å, c = 7.1390 Å
α = 90.00°, β = 90.00°, γ = 90.00°
With the nearest neighbours (Å) after each atom.
Element x y z (fractional)
Si (0.0000, 0.0000, 0.0000)  8 Pt 2.44
Pt (0.0000, 0.0000, 0.5000)  4 Pb 2.81, 8 Pt 2.93
Pt (0.0000, 0.5000, 0.1988)  2 Si 2.44
Pt (0.0000, 0.5000, 0.8012)  2 Si 2.44
Pt (0.5000, 0.0000, 0.1988)  2 Si 2.44
Pt (0.5000, 0.0000, 0.8012)  2 Si 2.44
Pb (0.5000, 0.5000, 0.5000)  12 Pt 2.81-2.93

Properties
Crystal system ... tetragonal
Formation energy (no corrections) ... -0.379 eV per atom


no.,total magnetization (μB/f.u.),total DFT energy (no corrections) (eV per atom)
1,0.00,-5.8300
2,0.00,-5.6106
3,0.00,-6.4742
4,0.00,-7.3174
5,1.74,-6.4672
6,0.00,-6.7460
7,0.00,-7.4023
8,0.00,-5.9245
9,0.00,-7.3186
10,0.00,-5.8691
11,0.00,-6.7771
12,0.00,-5.5445
13,0.00,-6.7534
14,0.00,-5.3147
15,0.00,-5.3986
16,0.00,-4.9036
17,0.00,-5.1508
18,0.00,-3.7895
19,0.00,-5.7871
20,0.00,-6.7449